Here is a relaxed Nd4ThMg3 crystal from Alexandria. Energies are from GGA-PBE.

As for the mass density: 6.009 g cm⁻³. The formation energy comes out at -0.064 eV/atom. The space group is P4/mmm (123).

Lattice parameters (Å, degrees): 3.7739 3.7739 17.1112 90.00 90.00 90.00
With the nearest neighbours (Å) after each atom.
Atoms (fractional coordinates):
Mg1 0.5000 0.5000 0.2627  8 Nd 3.38-3.43, 4 Mg 3.77
Mg2 0.5000 0.5000 0.5000  8 Nd 3.32
Mg3 0.5000 0.5000 0.7373  8 Nd 3.38-3.43, 4 Mg 3.77
Nd1 0.0000 0.0000 0.8628  4 Mg 3.43, 4 Th 3.55, 4 Nd 3.77
Nd2 0.0000 0.0000 0.1372  4 Mg 3.43, 4 Th 3.55, 4 Nd 3.77
Nd3 0.0000 0.0000 0.3841  8 Mg 3.32-3.38
Nd4 0.0000 0.0000 0.6159  8 Mg 3.32-3.38
Th1 0.5000 0.5000 0.0000  8 Nd 3.55, 4 Th 3.77